(1)
Density functional theory data (PBE-GGA) for a relaxed structure of Tm4NiHg.

a = 9.3836 Å, b = 9.3836 Å, c = 9.3836 Å
α = 60.00°, β = 60.00°, γ = 60.00°
Closest atoms and distances in Å follow each position.
Element x y z (fractional)
Tm  0.5616  0.9384  0.5616  2 Ni 2.75
Hg  0.5063  0.1646  0.1646  9 Tm 3.10-3.40, 3 Hg 3.21
Tm  0.9384  0.5616  0.9384  2 Ni 2.75
Hg  0.1646  0.5063  0.1646  9 Tm 3.10-3.40, 3 Hg 3.21
Tm  0.9384  0.9384  0.5616  2 Ni 2.75
Ni  0.1786  0.6071  0.6071  6 Tm 2.75
Tm  0.1868  0.8132  0.8132  2 Hg 3.10, 2 Ni 3.39, 2 Tm 3.40
Hg  0.1646  0.1646  0.5063  9 Tm 3.10-3.40, 3 Hg 3.21
Hg  0.1646  0.1646  0.1646  9 Tm 3.10-3.40, 3 Hg 3.21
Tm  0.8004  0.3999  0.3999  3 Ni 2.75
Ni  0.6071  0.6071  0.1786  6 Tm 2.75
Tm  0.1868  0.8132  0.1868  2 Hg 3.10, 2 Ni 3.39, 2 Tm 3.40
Tm  0.3999  0.3999  0.8004  3 Ni 2.75
Tm  0.3999  0.3999  0.3999  3 Ni 2.75
Tm  0.5616  0.9384  0.9384  2 Ni 2.75
Tm  0.8132  0.8132  0.1868  2 Hg 3.10, 2 Ni 3.39, 2 Tm 3.40
Tm  0.1868  0.1868  0.8132  2 Hg 3.10, 2 Ni 3.39, 2 Tm 3.40
Ni  0.6071  0.1786  0.6071  6 Tm 2.75
Tm  0.5616  0.5616  0.9384  2 Ni 2.75
Tm  0.8132  0.1868  0.8132  2 Hg 3.10, 2 Ni 3.39, 2 Tm 3.40
Ni  0.6071  0.6071  0.6071  6 Tm 2.75
Tm  0.8132  0.1868  0.1868  2 Hg 3.10, 2 Ni 3.39, 2 Tm 3.40
Tm  0.9384  0.5616  0.5616  2 Ni 2.75
Tm  0.3999  0.8004  0.3999  3 Ni 2.75

Summary:
ΔH_f (0 K) = -370 meV per atom
energy above the lowest structure with this stoichiometry = 0 meV per atom
total magnetic moment = 0.0 μB/cell



(2)
Density functional theory data (PBE-GGA) for a relaxed structure of Tm6NiHg2.

a = 6.8023 Å, b = 7.1709 Å, c = 9.9775 Å
α = 90.00°, β = 89.91°, γ = 90.00°
Closest atoms and distances in Å follow each position.
Element x y z (fractional)
Tm  0.3914  0.5093  0.7469  1 Ni 2.63
Ni  0.0000  0.0000  0.5000  6 Tm 2.61-2.63
Tm  0.1938  0.3055  0.4484  1 Ni 2.61
Tm  0.3062  0.8055  0.0516  1 Ni 2.61
Tm  0.8151  0.6994  0.9541  1 Ni 2.62
Ni  0.5000  0.5000  0.0000  6 Tm 2.61-2.63
Hg  0.4629  0.0849  0.2513  6 Tm 2.99-3.19
Tm  0.8062  0.6945  0.5516  1 Ni 2.61
Hg  0.0371  0.5849  0.2487  6 Tm 2.99-3.19
Tm  0.6938  0.1945  0.9484  1 Ni 2.61
Tm  0.6086  0.4907  0.2531  1 Ni 2.63
Tm  0.8914  0.9907  0.2469  1 Ni 2.63
Tm  0.3151  0.8006  0.4541  1 Ni 2.62
Hg  0.5371  0.9151  0.7487  6 Tm 2.99-3.19
Tm  0.6849  0.1994  0.5459  1 Ni 2.62
Hg  0.9629  0.4151  0.7513  6 Tm 2.99-3.19
Tm  0.1849  0.3006  0.0459  1 Ni 2.62
Tm  0.1086  0.0093  0.7531  1 Ni 2.63

Summary:
ΔH_f (0 K) = -259 meV per atom
total magnetic moment = 0.0 μB/cell



(3)
Density functional theory data (PBE-GGA) for a relaxed structure of Tm3Ni2Hg2.

a = 3.8098 Å, b = 3.6425 Å, c = 10.8223 Å
α = 90.00°, β = 79.86°, γ = 90.00°
Closest atoms and distances in Å follow each position.
Element x y z (fractional)
Hg  0.5846  0.5000  0.8308  1 Ni 2.83
Tm  0.1747  0.0000  0.6506  6 Ni 2.79-2.93
Tm  0.8253  0.0000  0.3494  6 Ni 2.79-2.93
Ni  0.2825  0.5000  0.4351  2 Ni 2.35
Hg  0.4154  0.5000  0.1692  1 Ni 2.83
Tm  0.0000  0.0000  0.0000  8 Hg 3.19
Ni  0.7175  0.5000  0.5649  2 Ni 2.35

Summary:
ΔH_f (0 K) = -511 meV per atom
total magnetic moment = 0.0 μB/cell



(4)
Density functional theory data (PBE-GGA) for a relaxed structure of Tm5Ni4Hg.

a = 3.3637 Å, b = 3.3637 Å, c = 17.3772 Å
α = 90.00°, β = 90.00°, γ = 90.00°
Closest atoms and distances in Å follow each position.
Element x y z (fractional)
Ni  0.0000  0.0000  0.7859  8 Tm 2.86-2.91
Tm  0.5000  0.5000  0.5000  8 Ni 2.89
Ni  0.0000  0.0000  0.4056  8 Tm 2.89
Ni  0.0000  0.0000  0.5944  8 Tm 2.89
Tm  0.5000  0.5000  0.6893  8 Ni 2.89-2.91
Hg  0.0000  0.0000  0.0000  8 Tm 3.19, 4 Hg 3.36
Tm  0.5000  0.5000  0.3107  8 Ni 2.89-2.91
Ni  0.0000  0.0000  0.2141  8 Tm 2.86-2.91
Tm  0.5000  0.5000  0.1224  4 Ni 2.86, 4 Hg 3.19
Tm  0.5000  0.5000  0.8776  4 Ni 2.86, 4 Hg 3.19

Summary:
ΔH_f (0 K) = -455 meV per atom
total magnetic moment = 0.0 μB/cell



(5)
Density functional theory data (PBE-GGA) for a relaxed structure of TmNiHg.

a = 3.4131 Å, b = 4.5154 Å, c = 4.5154 Å
α = 120.00°, β = 90.00°, γ = 90.00°
Closest atoms and distances in Å follow each position.
Element x y z (fractional)
Ni  0.1664  0.3333  0.6667  3 Hg 2.61
Hg  0.1668  0.0000  0.0000  3 Ni 2.61
Tm  0.6668  0.6667  0.3333  6 Ni 3.12, 6 Hg 3.12, 2 Tm 3.41

Summary:
ΔH_f (0 K) = -309 meV per atom
total magnetic moment = 0.0 μB/cell



(6)
Density functional theory data (PBE-GGA) for a relaxed structure of TmZnNiHg.

a = 4.6666 Å, b = 4.6666 Å, c = 4.6666 Å
α = 60.00°, β = 60.00°, γ = 60.00°
Closest atoms and distances in Å follow each position.
Element x y z (fractional)
Zn  0.7500  0.7500  0.7500  4 Hg 2.86, 4 Tm 2.86
Hg  0.5000  0.5000  0.5000  4 Ni 2.86, 4 Zn 2.86
Tm  0.0000  0.0000  0.0000  4 Ni 2.86, 4 Zn 2.86
Ni  0.2500  0.2500  0.2500  4 Hg 2.86, 4 Tm 2.86

Summary:
ΔH_f (0 K) = -220 meV per atom
total magnetic moment = 0.0 μB/cell